This record from Alexandria describes Co3SiS after structural relaxation. The functional is PBE.

Lattice parameters (Å, degrees): 4.102 4.102 4.102 90.00 90.00 90.00
Positions (direct):
Si (0.500, 0.500, 0.500)
Co (0.000, 0.000, 0.500)
Co (0.500, 0.000, 0.000)
S (0.000, 0.000, 0.000)
Co (0.000, 0.500, 0.000)

Calculated volume, A^3/atom: 13.80
Energy above the lowest structure with this stoichiometry, meV per atom: 0.0
Formation energy (no corrections), eV per atom: 0.37
Space-group type: Pm-3m, No. 221